(1)
Computed, not measured: a relaxed structure of ZnAuC2O at the PBE level of DFT.

Cell: 3.9851 3.9851 4.5314 Å, 90.00 90.00 90.00°
Closest atoms and distances in Å follow each position.
Sites, in units of the cell vectors:
Zn (0.0000, 0.0000, 0.0000)  4 O 2.82, 8 C 3.02
Au (0.5000, 0.5000, 0.5000)  4 C 1.99
C (0.0000, 0.5000, 0.5000)  2 Au 1.99
C (0.5000, 0.0000, 0.5000)  2 Au 1.99
O (0.5000, 0.5000, 0.0000)  2 Au 2.27

**Uncorrected formation energy**: 2107 meV per atom

(2)
Computed, not measured: a relaxed structure of TcTeAu2 at the PBE level of DFT.

Cell: 4.7870 4.7870 3.7275 Å, 90.00 90.00 110.75°
Closest atoms and distances in Å follow each position.
Sites, in units of the cell vectors:
Tc (0.0000, 0.0000, 0.0000)  2 Te 2.72, 8 Au 3.03
Te (0.5000, 0.5000, 0.0000)  2 Tc 2.72, 8 Au 3.03
Au (0.0000, 0.5000, 0.5000)  2 Au 2.72, 4 Tc 3.03, 4 Te 3.03
Au (0.5000, 0.0000, 0.5000)  2 Au 2.72, 4 Tc 3.03, 4 Te 3.03

**Uncorrected formation energy**: 530 meV per atom

(3)
Computed, not measured: a relaxed structure of AcCoTcGe2 at the PBE level of DFT.

Cell: 6.0862 6.0862 6.0862 Å, 138.65 138.65 59.91°
Closest atoms and distances in Å follow each position.
Sites, in units of the cell vectors:
Ac (0.0000, 0.0000, 0.0000)  8 Ge 3.38, 4 Co 3.40, 4 Tc 3.40
Co (0.2500, 0.7500, 0.5000)  4 Ge 2.44
Tc (0.7500, 0.2500, 0.5000)  4 Ge 2.44
Ge (0.3595, 0.3595, 0.0000)  2 Tc 2.44, 2 Co 2.44
Ge (0.6405, 0.6405, 0.0000)  2 Co 2.44, 2 Tc 2.44

**Energy of formation**: -0.467 eV/atom

Table of VASP energy (eV/atom), in record order: -3.484, -4.485, -6.630
Table of M_tot (μB per cell), in record order: 0.7, 2.4, 0.0
Table of ρ (Mg/m³), in record order: 6.98, 12.88, 9.02